(1)
## In3NiHg (meta-GGA SCAN)

Data for a crystal of In3NiHg relaxed with PBEsol.

a b c (Å): 4.9034 4.9034 4.9034
angles (deg): 90.00 90.00 90.00
Space group Pm-3m (No. 221)
One atom of each set of equivalent atoms:
In  0.0000  0.0000  0.5000 x3
Ni  0.0000  0.0000  0.0000 x1
Hg  0.5000  0.5000  0.5000 x1

Properties
* E_form: -0.0954 eV/atom
* offset from the most stable computed form: 0.0 kJ per mole of atoms


(2)
## ZnInNiHg2 (meta-GGA SCAN)

Data for a crystal of ZnInNiHg2 relaxed with PBEsol.

a b c (Å): 4.9516 4.9516 4.5408
angles (deg): 90.00 90.00 90.00
Space group P4/mmm (No. 123)
One atom of each set of equivalent atoms:
Zn  0.0000  0.0000  0.0000 x1
In  0.5000  0.5000  0.0000 x1
Ni  0.0000  0.0000  0.5000 x1
Hg  0.0000  0.5000  0.5000 x2

Properties
* E_form: 0.2024 eV/atom


(3)
## In3HgO (meta-GGA SCAN)

Data for a crystal of In3HgO relaxed with PBEsol.

a b c (Å): 4.7877 4.7877 4.7877
angles (deg): 90.00 90.00 90.00
Space group Pm-3m (No. 221)
One atom of each set of equivalent atoms:
In  0.0000  0.0000  0.5000 x3
Hg  0.5000  0.5000  0.5000 x1
O  0.0000  0.0000  0.0000 x1

Properties
* E_form (uncorrected): -0.1836 eV per atom


(4)
## In2HgOs (meta-GGA SCAN)

Data for a crystal of In2HgOs relaxed with PBEsol.

a b c (Å): 4.9372 4.9372 3.1030
angles (deg): 90.00 90.00 90.00
Space group P4/mmm (No. 123)
One atom of each set of equivalent atoms:
In  0.0000  0.5000  0.0000 x2
Hg  0.0000  0.0000  0.5000 x1
Os  0.5000  0.5000  0.5000 x1

Properties
* E_form: 0.5342 eV/atom


(5)
## In2HgOs (meta-GGA SCAN)

Data for a crystal of In2HgOs relaxed with PBEsol.

a b c (Å): 4.3056 4.3056 4.0093
angles (deg): 90.00 90.00 90.00
Space group P4/mmm (No. 123)
One atom of each set of equivalent atoms:
In  0.0000  0.5000  0.0000 x2
Hg  0.0000  0.0000  0.5000 x1
Os  0.5000  0.5000  0.5000 x1

Properties
* E_form: 0.6056 eV/atom


(6)
## InHg2Os (meta-GGA SCAN)

Data for a crystal of InHg2Os relaxed with PBEsol.

a b c (Å): 4.0762 4.0762 8.8559
angles (deg): 90.00 90.00 90.00
Space group I-4m2 (No. 119)
One atom of each set of equivalent atoms:
In  0.0000  0.0000  0.0000 x2
Hg  0.0000  0.0000  0.5000 x2
Hg  0.0000  0.5000  0.7500 x2
Os  0.0000  0.5000  0.2500 x2

Properties
* E_form: 0.6595 eV/atom


(7)
## InHgOs3 (meta-GGA SCAN)

Data for a crystal of InHgOs3 relaxed with PBEsol.

a b c (Å): 4.8492 4.8492 4.8492
angles (deg): 90.00 90.00 90.00
Space group Pm-3m (No. 221)
One atom of each set of equivalent atoms:
In  0.0000  0.0000  0.0000 x1
Hg  0.5000  0.5000  0.5000 x1
Os  0.0000  0.5000  0.5000 x3

Properties
* E_form: 3.0805 eV/atom


(8)
## InHgOs (meta-GGA SCAN)

Data for a crystal of InHgOs relaxed with PBEsol.

a b c (Å): 2.9841 5.1088 14.6628
angles (deg): 90.00 90.00 90.00
Space group Fmm2 (No. 42)
One atom of each set of equivalent atoms:
In  0.0000  0.0000  0.0000 x4
Hg  0.0000  0.0000  0.3147 x4
Os  0.0000  0.0000  0.6534 x4

Properties
* E_form: 0.8410 eV/atom


(9)
## In2HgOs (meta-GGA SCAN)

Data for a crystal of In2HgOs relaxed with PBEsol.

a b c (Å): 4.1014 4.1014 8.7998
angles (deg): 90.00 90.00 90.00
Space group I-4m2 (No. 119)
One atom of each set of equivalent atoms:
In  0.0000  0.0000  0.0000 x2
In  0.0000  0.5000  0.2500 x2
Hg  0.0000  0.5000  0.7500 x2
Os  0.0000  0.0000  0.5000 x2

Properties
* E_form: 0.5009 eV/atom


(10)
## InHgP2 (meta-GGA SCAN)

Data for a crystal of InHgP2 relaxed with PBEsol.

a b c (Å): 3.7843 3.8424 5.4873
angles (deg): 90.00 90.00 90.00
Space group Pmmm (No. 47)
One atom of each set of equivalent atoms:
In  0.0000  0.0000  0.0000 x1
Hg  0.0000  0.5000  0.5000 x1
P  0.5000  0.0000  0.5000 x1
P  0.5000  0.5000  0.0000 x1

Properties
* E_form: 0.5432 eV/atom
* offset from the most stable computed form: 0.0 kJ per mole of atoms


(11)
## InHgP2 (meta-GGA SCAN)

Data for a crystal of InHgP2 relaxed with PBEsol.

a b c (Å): 5.6926 7.3282 3.7129
angles (deg): 90.00 90.00 90.00
Space group Cmmm (No. 65)
One atom of each set of equivalent atoms:
In  0.0000  0.0000  0.0000 x2
Hg  0.0000  0.5000  0.0000 x2
P  0.2500  0.2500  0.5000 x4

Properties
* E_form: 0.6268 eV/atom
* offset from the most stable computed form: 8.1 kJ per mole of atoms


(12)
## InHg2P (meta-GGA SCAN)

Data for a crystal of InHg2P relaxed with PBEsol.

a b c (Å): 4.8403 4.0691 4.8530
angles (deg): 90.00 109.04 90.00
Space group P2/m (No. 10)
One atom of each set of equivalent atoms:
In  0.0000  0.0000  0.0000 x1
Hg  0.2798  0.5000  0.7206 x2
P  0.5000  0.0000  0.5000 x1

Properties
* E_form: 0.1255 eV/atom


(13)
## InHgP (meta-GGA SCAN)

Data for a crystal of InHgP relaxed with PBEsol.

a b c (Å): 6.5771 6.5771 6.5771
angles (deg): 90.00 90.00 90.00
Space group F-43m (No. 216)
One atom of each set of equivalent atoms:
In  0.0000  0.0000  0.0000 x4
Hg  0.2500  0.2500  0.2500 x4
P  0.0000  0.0000  0.5000 x4

Properties
* E_form: 0.4229 eV/atom
* offset from the most stable computed form: 33.4 kJ per mole of atoms


(14)
## InHgP (meta-GGA SCAN)

Data for a crystal of InHgP relaxed with PBEsol.

a b c (Å): 3.9478 3.9478 4.8656
angles (deg): 90.00 90.00 120.00
Space group P3m1 (No. 156)
One atom of each set of equivalent atoms:
In  0.0000  0.0000  0.0000 x1
Hg  0.6667  0.3333  0.4061 x1
P  0.3333  0.6667  0.7265 x1

Properties
* E_form: 0.0771 eV/atom
* offset from the most stable computed form: 0.0 kJ per mole of atoms


(15)
## In2HgPb (meta-GGA SCAN)

Data for a crystal of In2HgPb relaxed with PBEsol.

a b c (Å): 3.2768 5.1880 6.1549
angles (deg): 90.00 97.63 90.00
Space group P2/m (No. 10)
One atom of each set of equivalent atoms:
In  0.1510  0.0000  0.2590 x2
Hg  0.0000  0.5000  0.5000 x1
Pb  0.5000  0.5000  0.0000 x1

Properties
* E_form: 0.0524 eV/atom


(16)
## In2HgPb (meta-GGA SCAN)

Data for a crystal of In2HgPb relaxed with PBEsol.

a b c (Å): 3.7617 5.2284 5.2676
angles (deg): 90.00 90.00 90.00
Space group Pmmm (No. 47)
One atom of each set of equivalent atoms:
In  0.0000  0.0000  0.0000 x1
In  0.5000  0.5000  0.0000 x1
Hg  0.0000  0.5000  0.5000 x1
Pb  0.5000  0.0000  0.5000 x1

Properties
* E_form: 0.0628 eV/atom


(17)
## InHg2Pb (meta-GGA SCAN)

Data for a crystal of InHg2Pb relaxed with PBEsol.

a b c (Å): 5.2384 5.2384 3.6721
angles (deg): 90.00 90.00 90.00
Space group P4/mmm (No. 123)
One atom of each set of equivalent atoms:
In  0.0000  0.0000  0.0000 x1
Hg  0.0000  0.5000  0.5000 x2
Pb  0.5000  0.5000  0.0000 x1

Properties
* E_form: 0.0476 eV/atom


(18)
## In2HgPb (meta-GGA SCAN)

Data for a crystal of In2HgPb relaxed with PBEsol.

a b c (Å): 10.9777 3.3332 5.7682
angles (deg): 90.00 103.41 90.00
Space group C2/m (No. 12)
One atom of each set of equivalent atoms:
In  0.2402  0.0000  0.2385 x4
Hg  0.0000  0.5000  0.0000 x2
Pb  0.0000  0.0000  0.5000 x2

Properties
* E_form: 0.0534 eV/atom


(19)
## InHg2Pb (meta-GGA SCAN)

Data for a crystal of InHg2Pb relaxed with PBEsol.

a b c (Å): 3.4373 4.4185 6.6046
angles (deg): 90.00 90.00 90.00
Space group Pmm2 (No. 25)
One atom of each set of equivalent atoms:
In  0.0000  0.0000  0.0000 x1
Hg  0.0000  0.0000  0.5330 x1
Hg  0.5000  0.5000  0.7711 x1
Pb  0.5000  0.5000  0.2785 x1

Properties
* E_form: 0.0600 eV/atom


(20)
## In2HgPb (meta-GGA SCAN)

Data for a crystal of In2HgPb relaxed with PBEsol.

a b c (Å): 3.5140 5.5378 10.7017
angles (deg): 90.00 90.00 90.00
Space group Cmm2 (No. 35)
One atom of each set of equivalent atoms:
In  0.0000  0.0000  0.0000 x2
In  0.0000  0.5000  0.2503 x2
Hg  0.0000  0.0000  0.4851 x2
Pb  0.0000  0.5000  0.7365 x2

Properties
* E_form: 0.0561 eV/atom